Below is a relaxed structure of Tb2SmWO8, with properties calculated at the PBE with a Hubbard U level.

extended XYZ file:
```
12
Lattice="-4.131 2.846 -0.836 -1.102 -2.873 -4.048 -3.733 -4.237 4.023" Properties=species:S:1:pos:R:3 pbc="T T T"
Tb -5.432 -3.209 0.592
Tb -3.534 -1.055 -1.453
Sm -1.867 -2.118 2.012
W 0.000 0.000 0.000
O -2.429 -2.706 -2.619
O -7.529 -4.261 0.475
O -4.356 0.917 -0.592
O -6.537 -1.558 1.758
O -1.437 -0.003 -1.336
O -4.610 -5.181 -0.269
O -5.460 -2.143 -1.348
O -3.506 -2.121 0.487
```

Results
The calculation puts the total moment at 0.07 μB/atom. The calculation puts the density of states at the Fermi level at 6.58 states/eV/cell. The total energy is -94.66 eV per formula unit.